The following is a DFT calculation (meta-GGA SCAN) of a crystal of ScCd3 relaxed with PBEsol.

CIF file:
```
data_ScCd3
_cell_length_a 4.788
_cell_length_b 6.262
_cell_length_c 6.262
_cell_angle_alpha 120.00
_cell_angle_beta 90.00
_cell_angle_gamma 90.00
_space_group_name_H-M_alt 'P 1'
_space_group_IT_number 1
_space_group_name_Hall 'P 1'
loop_
_atom_site_label
_atom_site_fract_x
_atom_site_fract_y
_atom_site_fract_z
Cd1 0.750 0.834 0.166
Cd2 0.750 0.333 0.166
Cd3 0.750 0.834 0.667
Cd4 0.250 0.166 0.834
Cd5 0.250 0.667 0.834
Cd6 0.250 0.166 0.333
Sc1 0.250 0.667 0.333
Sc2 0.750 0.333 0.667
```

Computed properties:
Symmetry: P6_3/mmc, No. 194
Spin magnetization (μB/cell): 0.0
D(E_F) (states/eV/atom): 0.521
Crystal system: hexagonal
Formation energy (eV per atom): -0.2936